Entry 1:
## BaAsSBr2 (PBE)

Data for an optimized crystal structure of BaAsSBr2.

Cell lengths 5.429, 5.429, 5.013 Å; angles 90.00, 90.00, 90.00 degrees
Space group P4/mmm (No. 123)
Inequivalent atoms, fractional coordinates:
Ba1 0.000 0.000 0.000 (multiplicity 1)
As1 0.500 0.500 0.000 (multiplicity 1)
S1 0.500 0.500 0.500 (multiplicity 1)
Br1 0.000 0.500 0.500 (multiplicity 2)

Output
- N(E_F) (states/eV/atom) = 0.647
- ΔE to the lowest computed polymorph (kcal/mol of atoms) = 0.000
- E_form (uncorrected) (meV per atom) = -515

Entry 2:
## Ba6As2SBr2 (PBE)

Data for an optimized crystal structure of Ba6As2SBr2.

Cell lengths 8.231, 14.180, 8.308 Å; angles 90.00, 109.54, 90.00 degrees
Space group C2/m (No. 12)
Inequivalent atoms, fractional coordinates:
Ba1 0.240 0.000 0.223 (multiplicity 4)
Ba2 0.243 0.336 0.224 (multiplicity 8)
As1 0.000 0.168 0.000 (multiplicity 4)
S1 0.000 0.500 0.000 (multiplicity 2)
Br1 0.000 0.332 0.500 (multiplicity 4)

Output
- N(E_F) (states/eV/atom) = 0.447
- E_form (uncorrected) (meV per atom) = -1510

Entry 3:
## Ba6AsS2Br3 (PBE)

Data for an optimized crystal structure of Ba6AsS2Br3.

Cell lengths 8.049, 13.926, 8.258 Å; angles 90.00, 108.94, 90.00 degrees
Space group C2/m (No. 12)
Inequivalent atoms, fractional coordinates:
Ba1 0.237 0.000 0.221 (multiplicity 4)
Ba2 0.242 0.332 0.221 (multiplicity 8)
As1 0.000 0.500 0.000 (multiplicity 2)
S1 0.000 0.167 0.000 (multiplicity 4)
Br1 0.000 0.000 0.500 (multiplicity 2)
Br2 0.000 0.335 0.500 (multiplicity 4)

Output
- N(E_F) (states/eV/atom) = 0.307
- E_form (uncorrected) (meV per atom) = -1787

Entry 4:
## Ba4AsS2Br (PBE)

Data for an optimized crystal structure of Ba4AsS2Br.

Cell lengths 8.079, 4.683, 8.085 Å; angles 90.00, 108.78, 90.00 degrees
Space group P2/m (No. 10)
Inequivalent atoms, fractional coordinates:
Ba1 0.231 0.000 0.229 (multiplicity 2)
Ba2 0.244 0.500 0.758 (multiplicity 2)
As1 0.500 0.000 0.000 (multiplicity 1)
S1 0.000 0.000 0.500 (multiplicity 1)
S2 0.000 0.500 0.000 (multiplicity 1)
Br1 0.500 0.500 0.500 (multiplicity 1)

Output
- N(E_F) (states/eV/atom) = 0.001
- E_form (uncorrected) (meV per atom) = -1804

Entry 5:
## Ba8AsS3Br4 (PBE)

Data for an optimized crystal structure of Ba8AsS3Br4.

Cell lengths 9.2542, 9.2542, 23.3737 Å; angles 90.00, 90.00, 120.00 degrees
Space group R-3m (No. 166, hexagonal axes)
Inequivalent atoms, fractional coordinates:
Ba1 0.0000 0.0000 0.2394 (multiplicity 6)
Ba2 0.0020 0.5010 0.7596 (multiplicity 18)
As1 0.0000 0.0000 0.5000 (multiplicity 3)
S1 0.0000 0.5000 0.5000 (multiplicity 9)
Br1 0.0000 0.0000 0.0000 (multiplicity 3)
Br2 0.0000 0.5000 0.0000 (multiplicity 9)

Output
- N(E_F) (states/eV/atom) = 0.343
- E_form (uncorrected) (meV per atom) = -1806

Entry 6:
## Ba6As2S3Br (PBE)

Data for an optimized crystal structure of Ba6As2S3Br.

Cell lengths 20.522, 4.544, 9.600 Å; angles 90.00, 103.94, 90.00 degrees
Space group C2/m (No. 12)
Inequivalent atoms, fractional coordinates:
Ba1 0.001 0.000 0.228 (multiplicity 4)
Ba2 0.168 0.500 0.090 (multiplicity 4)
Ba3 0.174 0.500 0.581 (multiplicity 4)
As1 0.163 0.000 0.827 (multiplicity 4)
S1 0.000 0.500 0.000 (multiplicity 2)
S2 0.163 0.000 0.336 (multiplicity 4)
Br1 0.000 0.500 0.500 (multiplicity 2)

Output
- N(E_F) (states/eV/atom) = 0.681
- E_form (uncorrected) (meV per atom) = -1675

Entry 7:
## Ba8SbAs3Br4 (PBE)

Data for an optimized crystal structure of Ba8SbAs3Br4.

Cell lengths 9.7096, 9.7096, 24.0289 Å; angles 90.00, 90.00, 120.00 degrees
Space group R-3m (No. 166, hexagonal axes)
Inequivalent atoms, fractional coordinates:
Ba1 0.0000 0.0000 0.2389 (multiplicity 6)
Ba2 0.0098 0.5049 0.7596 (multiplicity 18)
Sb1 0.0000 0.0000 0.5000 (multiplicity 3)
As1 0.0000 0.5000 0.5000 (multiplicity 9)
Br1 0.0000 0.0000 0.0000 (multiplicity 3)
Br2 0.0000 0.5000 0.0000 (multiplicity 9)

Output
- E_form (uncorrected) (meV per atom) = -1576

Entry 8:
## Ba5Sb2AsBr (PBE)

Data for an optimized crystal structure of Ba5Sb2AsBr.

Cell lengths 6.010, 8.569, 17.545 Å; angles 90.00, 90.00, 90.00 degrees
Space group Immm (No. 71)
Inequivalent atoms, fractional coordinates:
Ba1 0.000 0.000 0.000 (multiplicity 2)
Ba2 0.000 0.270 0.351 (multiplicity 8)
Sb1 0.000 0.000 0.202 (multiplicity 4)
As1 0.000 0.500 0.500 (multiplicity 2)
Br1 0.000 0.500 0.000 (multiplicity 2)

Output
- N(E_F) (states/eV/atom) = 0.069
- E_form (uncorrected) (meV per atom) = -1080

Entry 9:
## Ba6SbAs2Br3 (PBE)

Data for an optimized crystal structure of Ba6SbAs2Br3.

Cell lengths 21.354, 4.839, 9.835 Å; angles 90.00, 103.27, 90.00 degrees
Space group C2/m (No. 12)
Inequivalent atoms, fractional coordinates:
Ba1 0.011 0.000 0.249 (multiplicity 4)
Ba2 0.165 0.500 0.110 (multiplicity 4)
Ba3 0.176 0.500 0.566 (multiplicity 4)
Sb1 0.000 0.500 0.000 (multiplicity 2)
As1 0.167 0.000 0.337 (multiplicity 4)
Br1 0.000 0.500 0.500 (multiplicity 2)
Br2 0.167 0.000 0.833 (multiplicity 4)

Output
- E_form (uncorrected) (meV per atom) = -1571

Entry 10:
## Ba2SbAsBr (PBE)

Data for an optimized crystal structure of Ba2SbAsBr.

Cell lengths 6.605, 6.605, 5.295 Å; angles 90.00, 90.00, 90.00 degrees
Space group P4/mmm (No. 123)
Inequivalent atoms, fractional coordinates:
Ba1 0.000 0.500 0.000 (multiplicity 2)
Sb1 0.000 0.000 0.000 (multiplicity 1)
As1 0.000 0.000 0.500 (multiplicity 1)
Br1 0.500 0.500 0.500 (multiplicity 1)

Output
- N(E_F) (states/eV/atom) = 0.655
- E_form (uncorrected) (meV per atom) = -693

Entry 11:
## Ba8AsSe3Br4 (PBE)

Data for an optimized crystal structure of Ba8AsSe3Br4.

Cell lengths 9.4520, 9.4520, 23.3254 Å; angles 90.00, 90.00, 120.00 degrees
Space group R-3m (No. 166, hexagonal axes)
Inequivalent atoms, fractional coordinates:
Ba1 0.0000 0.0000 0.2429 (multiplicity 6)
Ba2 0.0046 0.5023 0.2424 (multiplicity 18)
As1 0.0000 0.0000 0.5000 (multiplicity 3)
Se1 0.0000 0.5000 0.5000 (multiplicity 9)
Br1 0.0000 0.0000 0.0000 (multiplicity 3)
Br2 0.0000 0.5000 0.0000 (multiplicity 9)

Output
- N(E_F) (states/eV/atom) = 0.322
- E_form (uncorrected) (meV per atom) = -1794

Entry 12:
## Ba6As2SeBr3 (PBE)

Data for an optimized crystal structure of Ba6As2SeBr3.

Cell lengths 8.259, 14.311, 8.337 Å; angles 90.00, 109.28, 90.00 degrees
Space group C2/m (No. 12)
Inequivalent atoms, fractional coordinates:
Ba1 0.235 0.000 0.222 (multiplicity 4)
Ba2 0.244 0.331 0.223 (multiplicity 8)
As1 0.000 0.167 0.000 (multiplicity 4)
Se1 0.000 0.500 0.000 (multiplicity 2)
Br1 0.000 0.000 0.500 (multiplicity 2)
Br2 0.000 0.334 0.500 (multiplicity 4)

Output
- N(E_F) (states/eV/atom) = 0.326
- E_form (uncorrected) (meV per atom) = -1698

Entry 13:
## BaSnAs2Br (PBE)

Data for an optimized crystal structure of BaSnAs2Br.

Cell lengths 5.267, 5.267, 5.899 Å; angles 90.00, 90.00, 90.00 degrees
Space group P4/mmm (No. 123)
Inequivalent atoms, fractional coordinates:
Ba1 0.000 0.000 0.000 (multiplicity 1)
Sn1 0.500 0.500 0.500 (multiplicity 1)
As1 0.000 0.500 0.500 (multiplicity 2)
Br1 0.500 0.500 0.000 (multiplicity 1)

Output
- N(E_F) (states/eV/atom) = 0.668
- ΔE to the lowest computed polymorph (kcal/mol of atoms) = 0.000
- E_form (uncorrected) (meV per atom) = -432

Entry 14:
## BaSnAs2Br (PBE)

Data for an optimized crystal structure of BaSnAs2Br.

Cell lengths 5.915, 5.915, 5.950 Å; angles 90.00, 90.00, 90.00 degrees
Space group P4/mmm (No. 123)
Inequivalent atoms, fractional coordinates:
Ba1 0.000 0.000 0.000 (multiplicity 1)
Sn1 0.500 0.500 0.500 (multiplicity 1)
As1 0.000 0.500 0.000 (multiplicity 2)
Br1 0.000 0.000 0.500 (multiplicity 1)

Output
- N(E_F) (states/eV/atom) = 1.150
- ΔE to the lowest computed polymorph (kcal/mol of atoms) = 20.412
- E_form (uncorrected) (meV per atom) = 453

Entry 15:
## Ba6SnAs2Br3 (PBE)

Data for an optimized crystal structure of Ba6SnAs2Br3.

Cell lengths 21.573, 4.735, 10.035 Å; angles 90.00, 103.30, 90.00 degrees
Space group C2/m (No. 12)
Inequivalent atoms, fractional coordinates:
Ba1 0.012 0.000 0.257 (multiplicity 4)
Ba2 0.165 0.500 0.112 (multiplicity 4)
Ba3 0.176 0.500 0.569 (multiplicity 4)
Sn1 0.000 0.500 0.000 (multiplicity 2)
As1 0.168 0.000 0.340 (multiplicity 4)
Br1 0.000 0.500 0.500 (multiplicity 2)
Br2 0.169 0.000 0.833 (multiplicity 4)

Output
- N(E_F) (states/eV/atom) = 0.549
- E_form (uncorrected) (meV per atom) = -1423

Entry 16:
## BaSrAsBr2 (PBE)

Data for an optimized crystal structure of BaSrAsBr2.

Cell lengths 5.735, 5.735, 6.054 Å; angles 90.00, 90.00, 90.00 degrees
Space group P4/mmm (No. 123)
Inequivalent atoms, fractional coordinates:
Ba1 0.000 0.000 0.000 (multiplicity 1)
Sr1 0.500 0.500 0.500 (multiplicity 1)
As1 0.500 0.500 0.000 (multiplicity 1)
Br1 0.000 0.500 0.500 (multiplicity 2)

Output
- N(E_F) (states/eV/atom) = 0.826
- ΔE to the lowest computed polymorph (kcal/mol of atoms) = 0.000
- E_form (uncorrected) (meV per atom) = -1249

Entry 17:
## BaSrAsBr2 (PBE)

Data for an optimized crystal structure of BaSrAsBr2.

Cell lengths 6.015, 6.015, 6.016 Å; angles 90.00, 90.00, 90.00 degrees
Space group P4/mmm (No. 123)
Inequivalent atoms, fractional coordinates:
Ba1 0.000 0.000 0.000 (multiplicity 1)
Sr1 0.500 0.500 0.500 (multiplicity 1)
As1 0.000 0.000 0.500 (multiplicity 1)
Br1 0.000 0.500 0.000 (multiplicity 2)

Output
- N(E_F) (states/eV/atom) = 0.602
- ΔE to the lowest computed polymorph (kcal/mol of atoms) = 6.306
- E_form (uncorrected) (meV per atom) = -975

Entry 18:
## BaTaAs2Br (PBE)

Data for an optimized crystal structure of BaTaAs2Br.

Cell lengths 5.840, 5.840, 5.826 Å; angles 90.00, 90.00, 90.00 degrees
Space group P4/mmm (No. 123)
Inequivalent atoms, fractional coordinates:
Ba1 0.000 0.000 0.000 (multiplicity 1)
Ta1 0.500 0.500 0.500 (multiplicity 1)
As1 0.000 0.500 0.000 (multiplicity 2)
Br1 0.000 0.000 0.500 (multiplicity 1)

Output
- N(E_F) (states/eV/atom) = 1.640
- ΔE to the lowest computed polymorph (kcal/mol of atoms) = 49.364
- E_form (uncorrected) (meV per atom) = 1469

Entry 19:
## BaTaAs2Br (PBE)

Data for an optimized crystal structure of BaTaAs2Br.

Cell lengths 5.066, 5.066, 5.370 Å; angles 90.00, 90.00, 90.00 degrees
Space group P4/mmm (No. 123)
Inequivalent atoms, fractional coordinates:
Ba1 0.000 0.000 0.000 (multiplicity 1)
Ta1 0.500 0.500 0.500 (multiplicity 1)
As1 0.000 0.500 0.500 (multiplicity 2)
Br1 0.500 0.500 0.000 (multiplicity 1)

Output
- N(E_F) (states/eV/atom) = 0.406
- ΔE to the lowest computed polymorph (kcal/mol of atoms) = 0.000
- E_form (uncorrected) (meV per atom) = -671

Entry 20:
## Ba2TbAs2Br2 (PBE)

Data for an optimized crystal structure of Ba2TbAs2Br2.

Cell lengths 5.507, 5.507, 16.840 Å; angles 90.00, 90.00, 90.00 degrees
Space group I4/mmm (No. 139)
Inequivalent atoms, fractional coordinates:
Ba1 0.000 0.000 0.123 (multiplicity 4)
Tb1 0.000 0.000 0.500 (multiplicity 2)
As1 0.000 0.500 0.000 (multiplicity 4)
Br1 0.000 0.000 0.319 (multiplicity 4)

Output
- N(E_F) (states/eV/atom) = 0.312
- E_form (uncorrected) (meV per atom) = -1490